The following is a DFT calculation (GGA-PBE) of an optimized crystal structure of Ac2SiH.

Cell: 4.4520 4.4520 19.4555 Å, 90.00 90.00 120.00°
Closest atoms and distances in Å follow each position.
Space group R-3m (No. 166, hexagonal axes)
Symmetry-distinct sites (fractional):
Ac1 0.0000 0.0000 0.2453 x6  3 H 2.99, 3 Si 3.09
Si1 0.0000 0.0000 0.0000 x3  6 Ac 3.09
H1 0.0000 0.0000 0.5000 x3  6 Ac 2.99

* raw total energy: -0.170 hartree per atom

***

The following is a DFT calculation (GGA-PBE) of an optimized crystal structure of AcCo4Sn12.

Cell: 9.2784 9.2784 9.2784 Å, 90.00 90.00 90.00°
Closest atoms and distances in Å follow each position.
Space group Im-3 (No. 204)
Symmetry-distinct sites (fractional):
Ac1 0.0000 0.0000 0.0000 x2  12 Sn 3.51
Co1 0.2500 0.2500 0.2500 x8  6 Sn 2.55
Sn1 0.0000 0.1744 0.3353 x24  2 Co 2.55

* energy relative to the elements: -117 meV/atom
* raw total energy: -0.178 hartree per atom

***

The following is a DFT calculation (GGA-PBE) of an optimized crystal structure of InGaF3.

Cell: 8.6417 11.3893 3.6517 Å, 90.00 90.00 90.00°
Closest atoms and distances in Å follow each position.
Space group C222_1 (No. 20)
Symmetry-distinct sites (fractional):
In1 0.0000 0.1744 0.2500 x4  4 F 2.62-2.85
Ga1 0.1131 0.5000 0.0000 x4  2 F 1.85
F1 0.0000 0.3399 0.7500 x4  2 Ga 2.26
F2 0.2433 0.0981 0.7185 x8  1 Ga 1.85

* ΔE_f (raw): -1894 meV/atom
* raw total energy: -0.153 hartree per atom

***

The following is a DFT calculation (GGA-PBE) of an optimized crystal structure of LaPmNdSm2.

Cell: 8.5514 6.6792 6.3346 Å, 90.00 96.03 90.00°
Closest atoms and distances in Å follow each position.
Space group P2/c (No. 13)
Symmetry-distinct sites (fractional):
La1 0.0000 0.0000 0.0000 x2  2 La 3.17, 2 Pm 3.30
Pm1 0.0000 0.4339 0.2500 x2  2 Sm 3.16, 2 Pm 3.29, 2 La 3.30
Nd1 0.5000 0.1628 0.2500 x2  8 Sm 3.59-3.83, 2 Nd 3.84
Sm1 0.3105 0.3168 0.7133 x4  1 Pm 3.16, 1 Sm 3.23

* energy relative to the elements: 255 meV/atom
* raw total energy: -0.166 hartree per atom

***

The following is a DFT calculation (GGA-PBE) of an optimized crystal structure of Sc2BeP.

Cell: 6.9069 6.9069 6.2317 Å, 90.00 90.00 90.00°
Closest atoms and distances in Å follow each position.
Space group I-42d (No. 122)
Symmetry-distinct sites (fractional):
Sc1 0.2467 0.7500 0.1250 x8  2 P 2.55, 2 Be 2.58
Be1 0.0000 0.0000 0.5000 x4  4 Sc 2.58
P1 0.0000 0.0000 0.0000 x4  4 Sc 2.55

* energy relative to the elements: -239 meV/atom
* raw total energy: -0.209 hartree per atom

***

The following is a DFT calculation (GGA-PBE) of an optimized crystal structure of Ta2CdHg.

Cell: 2.9038 2.9038 9.2872 Å, 90.00 90.00 90.00°
Closest atoms and distances in Å follow each position.
Space group P4mm (No. 99)
Symmetry-distinct sites (fractional):
Ta1 0.0000 0.0000 0.0000 x1  8 Ta 2.90-3.03, 4 Hg 3.08
Ta2 0.5000 0.5000 0.2402 x1  8 Ta 2.90-3.03, 4 Cd 3.10
Cd1 0.0000 0.0000 0.4905 x1  4 Cd 2.90, 4 Ta 3.10, 4 Hg 3.19
Hg1 0.5000 0.5000 0.7531 x1  4 Hg 2.90, 4 Ta 3.08, 4 Cd 3.19

* energy relative to the elements: 225 meV/atom
* raw total energy: -0.221 hartree per atom